Material: Ac3Ge2BiPd9
Method: DFT, GGA-PBE
State: relaxed

As for the crystal system: trigonal. As for the total moment: 0.000 μB per atom. The calculation puts the formation enthalpy at 0 K at -8.0 eV/f.u. The value obtained for the density of states at the Fermi level is 0.498 states/eV/atom.

The structure belongs to space group P-3m1 (No. 164); the cell edges are 7.5464, 7.5464 and 7.1457 Å and the angles 90.00°, 90.00° and 120.00°. The inequivalent atoms are Ac at (0.0000, 0.0000, 0.0000), Ac at (0.3333, 0.6667, 0.6623), Ge at (0.3333, 0.6667, 0.1377), Bi at (0.0000, 0.0000, 0.5000), Pd at (0.0000, 0.5000, 0.0000) and Pd at (0.1802, 0.3603, 0.3228).



Material: AcPmGeBi
Method: DFT, GGA-PBE
State: relaxed

As for the crystal system: cubic. As for the total moment: 0.000 μB per atom. The calculation puts the formation enthalpy at 0 K at -2.2 eV/f.u. The value obtained for the density of states at the Fermi level is 1.133 states/eV/atom.

The structure belongs to space group F-43m (No. 216); the cell edges are 7.905, 7.905 and 7.905 Å and the angles 90.00°, 90.00° and 90.00°. The inequivalent atoms are Ac at (0.000, 0.000, 0.000), Pm at (0.000, 0.000, 0.500), Ge at (0.250, 0.250, 0.750) and Bi at (0.250, 0.250, 0.250).



Material: AcGe2Bi2Pt7
Method: DFT, GGA-PBE
State: relaxed

As for the crystal system: monoclinic. As for the total moment: 0.000 μB per atom. The calculation puts the formation enthalpy at 0 K at -5.5 eV/f.u. The value obtained for the density of states at the Fermi level is 0.301 states/eV/atom.

The structure belongs to space group C2/m (No. 12); the cell edges are 5.789, 5.787 and 16.004 Å and the angles 90.00°, 100.39° and 90.00°. The inequivalent atoms are Ac at (0.000, 0.000, 0.000), Ge at (0.120, 0.500, 0.243), Bi at (0.211, 0.000, 0.423), Pt at (0.000, 0.500, 0.000), Pt at (0.175, 0.250, 0.849) and Pt at (0.199, 0.500, 0.399).



Material: Ac3Ge2Bi2Pt4
Method: DFT, GGA-PBE
State: relaxed

As for the crystal system: trigonal. As for the total moment: 0.000 μB per atom. The calculation puts the formation enthalpy at 0 K at -9.1 eV/f.u. The value obtained for the density of states at the Fermi level is 0.273 states/eV/atom.

The structure belongs to space group P-3m1 (No. 164); the cell edges are 4.6724, 4.6724 and 15.0275 Å and the angles 90.00°, 90.00° and 120.00°. The inequivalent atoms are Ac at (0.0000, 0.0000, 0.0000), Ac at (0.0000, 0.0000, 0.2649), Ge at (0.3333, 0.6667, 0.1434), Bi at (0.3333, 0.6667, 0.5731), Pt at (0.3333, 0.6667, 0.3784) and Pt at (0.3333, 0.6667, 0.8716).